Entry 1:
First-principles (PBE-GGA) data for a relaxed CsPtPb3 crystal, as listed in Alexandria.

Lattice parameters (Å, degrees): 6.1649 6.1649 6.1649 90.00 90.00 90.00
Atoms (fractional coordinates):
Pb  0.0000  0.0000  0.5000
Pb  0.5000  0.0000  0.0000
Pt  0.5000  0.5000  0.5000
Pb  0.0000  0.5000  0.0000
Cs  0.0000  0.0000  0.0000

Values from the calculation:
Space-group type: Pm-3m, No. 221
ΔH_f (0 K): 1.8211 eV/atom
Energy relative to the lowest polymorph listed for this composition: 2072.3 meV per atom
Energy: -1.783 eV/atom

---

Entry 2:
First-principles (PBE-GGA) data for a relaxed Cs3PtPb crystal, as listed in Alexandria.

Lattice parameters (Å, degrees): 7.0990 7.0990 7.0990 90.00 90.00 90.00
Atoms (fractional coordinates):
Cs  0.5000  0.0000  0.0000
Cs  0.0000  0.5000  0.0000
Cs  0.0000  0.0000  0.5000
Pt  0.5000  0.5000  0.5000
Pb  0.0000  0.0000  0.0000

Values from the calculation:
Space-group type: Pm-3m, No. 221
ΔH_f (0 K): 0.6129 eV/atom
Energy relative to the lowest polymorph listed for this composition: 450.1 meV per atom
Energy: -1.849 eV/atom

---

Entry 3:
First-principles (PBE-GGA) data for a relaxed Cs4PtPb5 crystal, as listed in Alexandria.

Lattice parameters (Å, degrees): 6.8884 8.8041 8.8041 81.20 66.97 66.97
Atoms (fractional coordinates):
Cs  0.4409  0.2989  0.7011
Pb  0.6382  0.0000  0.0000
Pb  0.8247  0.0000  0.2821
Cs  0.1419  0.2989  0.2989
Pt  0.2248  0.0000  0.0000
Cs  0.7398  0.7011  0.7011
Pb  0.1068  0.0000  0.7179
Pb  0.1068  0.7179  0.0000
Pb  0.8247  0.2821  0.0000
Cs  0.4409  0.7011  0.2989

Values from the calculation:
Space-group type: I4mm, No. 107
ΔH_f (0 K): -0.1771 eV/atom
Energy: -2.977 eV/atom

---

Entry 4:
First-principles (PBE-GGA) data for a relaxed Cs2PtPb6 crystal, as listed in Alexandria.

Lattice parameters (Å, degrees): 6.7238 7.5574 7.5574 60.06 90.00 90.00
Atoms (fractional coordinates):
Pb  0.6900  0.1510  0.6986
Cs  0.8398  0.6665  0.6665
Pt  0.0000  0.0000  0.0000
Pb  0.3100  0.3014  0.8490
Cs  0.1602  0.3335  0.3335
Pb  0.6900  0.1514  0.1514
Pb  0.3100  0.8490  0.3014
Pb  0.3100  0.8486  0.8486
Pb  0.6900  0.6986  0.1510

Values from the calculation:
Space-group type: C2/m, No. 12
ΔH_f (0 K): -0.1587 eV/atom
Energy: -3.492 eV/atom

---

Entry 5:
First-principles (PBE-GGA) data for a relaxed CsPt2Pb crystal, as listed in Alexandria.

Lattice parameters (Å, degrees): 4.7762 4.7762 7.0777 70.28 70.28 60.00
Atoms (fractional coordinates):
Cs  0.0000  0.0000  0.0000
Pb  0.5000  0.5000  0.5000
Pt  0.8184  0.8184  0.5449
Pt  0.1816  0.1816  0.4551

Values from the calculation:
Space-group type: R-3m, No. 166
ΔH_f (0 K): -0.1293 eV/atom
Energy: -4.290 eV/atom

---

Entry 6:
First-principles (PBE-GGA) data for a relaxed CsPtPb2 crystal, as listed in Alexandria.

Lattice parameters (Å, degrees): 3.6352 3.6352 9.2302 90.00 90.00 90.00
Atoms (fractional coordinates):
Pb  0.0000  0.0000  0.1705
Pt  0.5000  0.5000  0.0000
Pb  0.0000  0.0000  0.8295
Cs  0.5000  0.5000  0.5000

Values from the calculation:
Space-group type: P4/mmm, No. 123
ΔH_f (0 K): -0.1302 eV/atom
Energy: -3.708 eV/atom

---

Entry 7:
First-principles (PBE-GGA) data for a relaxed CsPt2Pb crystal, as listed in Alexandria.

Lattice parameters (Å, degrees): 4.5373 7.8168 7.8080 90.00 106.90 90.00
Atoms (fractional coordinates):
Pt  0.2473  0.9161  0.4945
Pt  0.2473  0.5839  0.4945
Cs  0.9257  0.7500  0.8515
Pb  0.6563  0.7500  0.3127
Pb  0.3437  0.2500  0.6873
Pt  0.7527  0.0839  0.5055
Cs  0.0743  0.2500  0.1485
Pt  0.7527  0.4161  0.5055

Values from the calculation:
Space-group type: Cmcm, No. 63
ΔH_f (0 K): -0.2068 eV/atom
Energy: -4.368 eV/atom

---

Entry 8:
First-principles (PBE-GGA) data for a relaxed CsPt4Pb12 crystal, as listed in Alexandria.

Lattice parameters (Å, degrees): 8.6671 8.6671 8.6671 109.47 109.47 109.47
Atoms (fractional coordinates):
Pb  0.1803  0.8365  0.3438
Pb  0.8365  0.6562  0.4927
Pb  0.1635  0.3438  0.5073
Pb  0.6562  0.8197  0.1635
Pb  0.3438  0.1803  0.8365
Pb  0.4927  0.8365  0.6562
Pt  0.0000  0.0000  0.5000
Pt  0.5000  0.0000  0.0000
Pb  0.8365  0.3438  0.1803
Pt  0.0000  0.5000  0.0000
Pb  0.3438  0.5073  0.1635
Pb  0.1635  0.6562  0.8197
Pb  0.8197  0.1635  0.6562
Cs  0.0000  0.0000  0.0000
Pb  0.5073  0.1635  0.3438
Pb  0.6562  0.4927  0.8365
Pt  0.5000  0.5000  0.5000

Values from the calculation:
Space-group type: Im-3, No. 204
ΔH_f (0 K): -0.0998 eV/atom
Energy: -4.189 eV/atom

---

Entry 9:
First-principles (PBE-GGA) data for a relaxed CsPtPb2 crystal, as listed in Alexandria.

Lattice parameters (Å, degrees): 5.4516 5.4516 5.4516 60.00 60.00 60.00
Atoms (fractional coordinates):
Pb  0.7500  0.7500  0.7500
Pb  0.2500  0.2500  0.2500
Cs  0.0000  0.0000  0.0000
Pt  0.5000  0.5000  0.5000

Values from the calculation:
Space-group type: Fm-3m, No. 225
ΔH_f (0 K): 0.3091 eV/atom
Energy: -3.269 eV/atom

---

Entry 10:
First-principles (PBE-GGA) data for a relaxed CsPtPb2 crystal, as listed in Alexandria.

Lattice parameters (Å, degrees): 4.6145 4.6145 8.1317 73.52 73.52 60.00
Atoms (fractional coordinates):
Pb  0.2880  0.2880  0.1360
Cs  0.5000  0.5000  0.5000
Pb  0.7120  0.7120  0.8640
Pt  0.0000  0.0000  0.0000

Values from the calculation:
Space-group type: R-3m, No. 166
ΔH_f (0 K): -0.2524 eV/atom
Energy: -3.830 eV/atom

---

Entry 11:
First-principles (PBE-GGA) data for a relaxed Cs2PtPb2 crystal, as listed in Alexandria.

Lattice parameters (Å, degrees): 7.4781 7.4781 6.5576 90.00 90.00 90.00
Atoms (fractional coordinates):
Pt  0.5000  0.5000  0.0000
Pt  0.0000  0.0000  0.0000
Cs  0.3180  0.1820  0.5000
Cs  0.8180  0.3180  0.5000
Pb  0.3513  0.8513  0.0000
Cs  0.1820  0.6820  0.5000
Pb  0.8513  0.6487  0.0000
Pb  0.1487  0.3513  0.0000
Pb  0.6487  0.1487  0.0000
Cs  0.6820  0.8180  0.5000

Values from the calculation:
Space-group type: P4/mbm, No. 127
ΔH_f (0 K): -0.0535 eV/atom
Energy relative to the lowest polymorph listed for this composition: 111.0 meV per atom
Energy: -3.086 eV/atom

---

Entry 12:
First-principles (PBE-GGA) data for a relaxed Cs3PtPb crystal, as listed in Alexandria.

Lattice parameters (Å, degrees): 6.6452 6.6452 6.6452 90.00 90.00 90.00
Atoms (fractional coordinates):
Pt  0.0000  0.0000  0.0000
Cs  0.0000  0.5000  0.0000
Cs  0.5000  0.0000  0.0000
Pb  0.5000  0.5000  0.5000
Cs  0.0000  0.0000  0.5000

Values from the calculation:
Space-group type: Pm-3m, No. 221
ΔH_f (0 K): 0.1629 eV/atom
Energy relative to the lowest polymorph listed for this composition: 0.0 meV per atom
Energy: -2.299 eV/atom

---

Entry 13:
First-principles (PBE-GGA) data for a relaxed CsPt2Pb crystal, as listed in Alexandria.

Lattice parameters (Å, degrees): 8.1553 8.1553 7.0171 54.47 54.47 90.00
Atoms (fractional coordinates):
Pt  0.3750  0.2919  0.7500
Pt  0.0419  0.6250  0.2500
Pb  0.0000  0.0000  0.0000
Cs  0.2500  0.7500  0.5000
Cs  0.5000  0.5000  0.0000
Pt  0.7081  0.1250  0.2500
Pb  0.7500  0.2500  0.5000
Pt  0.8750  0.9581  0.7500

Values from the calculation:
Space-group type: I-42d, No. 122
ΔH_f (0 K): 0.3016 eV/atom
Energy: -3.859 eV/atom

---

Entry 14:
First-principles (PBE-GGA) data for a relaxed CsSbPt2Pb crystal, as listed in Alexandria.

Lattice parameters (Å, degrees): 4.5190 8.0561 10.3727 116.51 90.00 90.00
Atoms (fractional coordinates):
Pt  0.2500  0.5032  0.9232
Sb  0.2500  0.3710  0.1332
Cs  0.2500  0.9554  0.2170
Pt  0.7500  0.4968  0.0768
Pb  0.2500  0.3242  0.6162
Sb  0.7500  0.6290  0.8668
Cs  0.7500  0.0446  0.7830
Pt  0.2500  0.4973  0.4197
Pb  0.7500  0.6758  0.3838
Pt  0.7500  0.5027  0.5803

Values from the calculation:
E_form (uncorrected): -0.357 eV per atom
Space-group type: P2_1/m, No. 11
Energy: -4.510 eV/atom

---

Entry 15:
First-principles (PBE-GGA) data for a relaxed CsSbPtPb crystal, as listed in Alexandria.

Lattice parameters (Å, degrees): 4.5307 4.5307 8.5588 90.15 90.15 60.01
Atoms (fractional coordinates):
Pb  0.3569  0.3569  0.6770
Sb  0.6910  0.6910  0.9142
Pt  0.0241  0.0241  0.8385
Cs  0.3585  0.3585  0.2194

Values from the calculation:
E_form (uncorrected): -0.363 eV per atom
Space-group type: Cm, No. 8
Energy: -4.044 eV/atom

---

Entry 16:
First-principles (PBE-GGA) data for a relaxed CsSnPt2Pb crystal, as listed in Alexandria.

Lattice parameters (Å, degrees): 4.5828 7.6220 9.8264 101.10 90.00 90.00
Atoms (fractional coordinates):
Pt  0.2500  0.4933  0.3313
Cs  0.7500  0.0520  0.7747
Sn  0.7500  0.6501  0.9561
Pb  0.7500  0.6770  0.4460
Pt  0.2500  0.5318  0.8319
Cs  0.2500  0.9480  0.2253
Pt  0.7500  0.5067  0.6687
Pb  0.2500  0.3230  0.5540
Pt  0.7500  0.4682  0.1681
Sn  0.2500  0.3499  0.0439

Values from the calculation:
Space-group type: P2_1/m, No. 11
ΔH_f (0 K): -0.2979 eV/atom
Energy: -4.427 eV/atom

---

Entry 17:
First-principles (PBE-GGA) data for a relaxed CsSn2PtPb crystal, as listed in Alexandria.

Lattice parameters (Å, degrees): 5.2825 6.1777 5.2825 90.00 90.00 90.00
Atoms (fractional coordinates):
Sn  0.5000  0.0000  0.0000
Pt  0.0000  0.0000  0.0000
Cs  0.0000  0.5000  0.0000
Sn  0.0000  0.0000  0.5000
Pb  0.5000  0.5000  0.5000

Values from the calculation:
Space-group type: P4/mmm, No. 123
ΔH_f (0 K): 0.1175 eV/atom
Energy: -3.604 eV/atom

---

Entry 18:
First-principles (PBE-GGA) data for a relaxed CsTl2PtPb crystal, as listed in Alexandria.

Lattice parameters (Å, degrees): 5.5401 5.5401 5.6752 90.00 90.00 90.00
Atoms (fractional coordinates):
Tl  0.5000  0.0000  0.0000
Pb  0.0000  0.0000  0.5000
Tl  0.0000  0.5000  0.0000
Cs  0.5000  0.5000  0.5000
Pt  0.0000  0.0000  0.0000

Values from the calculation:
Space-group type: P4/mmm, No. 123
ΔH_f (0 K): 0.0123 eV/atom
Energy: -3.055 eV/atom

---

Entry 19:
First-principles (PBE-GGA) data for a relaxed CsTlPtPb2 crystal, as listed in Alexandria.

Lattice parameters (Å, degrees): 5.6959 5.6959 5.4480 90.00 90.00 90.00
Atoms (fractional coordinates):
Cs  0.5000  0.5000  0.5000
Pb  0.0000  0.5000  0.0000
Tl  0.0000  0.0000  0.5000
Pt  0.0000  0.0000  0.0000
Pb  0.5000  0.0000  0.0000

Values from the calculation:
Space-group type: P4/mmm, No. 123
ΔH_f (0 K): 0.0651 eV/atom
Energy: -3.270 eV/atom

---

Entry 20:
First-principles (PBE-GGA) data for a relaxed CsZn2PtPb crystal, as listed in Alexandria.

Lattice parameters (Å, degrees): 5.1184 5.1184 5.4397 90.00 90.00 90.00
Atoms (fractional coordinates):
Zn  0.5000  0.0000  0.0000
Cs  0.5000  0.5000  0.5000
Pt  0.0000  0.0000  0.0000
Zn  0.0000  0.5000  0.0000
Pb  0.0000  0.0000  0.5000

Values from the calculation:
Space-group type: P4/mmm, No. 123
ΔH_f (0 K): -0.1050 eV/atom
Energy: -2.735 eV/atom